1.
The following is a PBE-GGA calculation of a relaxed structure of CaAlGaPt2, from the Alexandria database.

Volume = 19.31 Å³ per atom
Formation energy = -940 meV per atom
Space-group type = No. 119

abc: 6.3655 6.3655 6.3655
angles: 142.12 142.12 54.64
Sites, in units of the cell vectors:
Ca 0.0000 0.0000 0.0000
Al 0.7500 0.2500 0.5000
Ga 0.2500 0.7500 0.5000
Pt 0.3801 0.3801 0.0000
Pt 0.6199 0.6199 0.0000


2.
The following is a PBE-GGA calculation of a relaxed structure of TiPN3, from the Alexandria database.

Volume = 11.94 Å³ per atom
Energy relative to the elements, uncorrected = -731.6 meV/atom
Space-group type = No. 6

abc: 4.8975 2.8803 8.4670
angles: 90.00 91.87 90.00
Sites, in units of the cell vectors:
Ti 0.0000 0.0000 0.0000
Ti 0.4853 0.5000 0.7372
P 0.4664 0.5000 0.1231
P 0.9384 0.0000 0.6137
N 0.2687 0.0000 0.6378
N 0.2967 0.5000 0.9456
N 0.3528 0.0000 0.1966
N 0.7885 0.0000 0.7911
N 0.7940 0.5000 0.0990
N 0.8171 0.5000 0.5397


| no. | total magnetization (μB/f.u.) |
| --- | --- |
| 1 | 0.00 |
| 2 | 0.00 |